Entry 1:
Density functional theory data (PBE-GGA) for CaMn after structural relaxation.

Cell and atoms, written as POSCAR:
```
CaMn
1.0
1.7269 -8.8694 0.0000
1.7269 8.8694 0.0000
0.0000 0.0000 4.9378
Ca Mn
3 3
direct
0.0000 0.0000 0.0000 Ca
0.3353 0.6647 0.5000 Ca
0.6647 0.3353 0.5000 Ca
0.2148 0.7852 0.0000 Mn
0.5000 0.5000 0.5000 Mn
0.7852 0.2148 0.0000 Mn
```

Properties
DFT formation energy, meV/atom: 675

***

Entry 2:
Density functional theory data (PBE-GGA) for CaMn after structural relaxation.

Cell and atoms, written as POSCAR:
```
CaMn
1.0
1.7287 0.9981 10.1614
-1.7287 0.9981 10.1614
0.0000 -1.9962 10.1614
Ca Mn
2 2
direct
0.1120 0.1120 0.1120 Ca
0.8880 0.8880 0.8880 Ca
0.3644 0.3644 0.3644 Mn
0.6356 0.6356 0.6356 Mn
```

Properties
DFT formation energy, meV/atom: 673

***

Question: Which of these has the lowest DFT formation energy?
Answer: number 2

***

Question: The lowest DFT formation energy belongs to which entry?
Answer: number 2

***

Question: Which of these has the highest DFT formation energy?
Answer: number 1